The following is a DFT calculation (PBE+U) of a geometry-optimized Ba2RhWO6 structure.

a = 5.9242 Å, b = 5.9242 Å, c = 29.3370 Å
α = 90.00°, β = 90.00°, γ = 120.00°
Space group R-3m (No. 166, hexagonal axes)
Inequivalent atoms, fractional coordinates:
Ba  0.0000  0.0000  0.1259
Ba  0.0000  0.0000  0.2847
Rh  0.0000  0.0000  0.4098
W  0.0000  0.0000  0.0000
W  0.0000  0.0000  0.5000
O  0.0175  0.5087  0.1275
O  0.0216  0.5108  0.7051

Results
M_tot in μB per cell: 6.0
Crystal system: trigonal
Total DFT energy (no corrections) in eV/atom: -6.873